VASP calculation (PBE-GGA) on a geometry-optimized TlGaPb2O5 structure.

Cell and atoms, written as POSCAR:
```
TlGaPb2O5
1.0
1.693 -7.451 0.000
1.693 7.451 0.000
0.000 0.000 11.851
Tl Ga Pb O
2 2 4 10
Direct
0.195 0.805 0.500
0.805 0.195 0.000
0.468 0.532 0.897
0.532 0.468 0.397
0.111 0.889 0.112
0.146 0.854 0.784
0.854 0.146 0.284
0.889 0.111 0.612
0.019 0.981 0.476
0.288 0.712 0.129
0.342 0.658 0.880
0.349 0.651 0.487
0.466 0.534 0.266
0.534 0.466 0.766
0.651 0.349 0.987
0.658 0.342 0.380
0.712 0.288 0.629
0.981 0.019 0.976
```

Values from the calculation:
Volume (Å³/f.u.): 149
M_tot (Bohr magnetons per cell): 0.0
Crystal system: orthorhombic
Raw formation energy (eV per atom): -1.126

VASP calculation (PBE-GGA) on a geometry-optimized Tm2GaPbO6 structure.

Cell and atoms, written as POSCAR:
```
Tm2GaPbO6
1.0
5.264 0.000 0.000
0.000 5.264 0.000
0.000 0.000 5.369
Tm Ga Pb O
2 1 1 6
Direct
0.000 0.500 0.000
0.500 0.000 0.000
0.000 0.000 0.615
0.500 0.500 0.565
0.000 0.000 0.268
0.238 0.238 0.777
0.238 0.762 0.777
0.500 0.500 0.153
0.762 0.238 0.777
0.762 0.762 0.777
```

Values from the calculation:
Volume (Å³/f.u.): 149
M_tot (Bohr magnetons per cell): 0.0
Crystal system: tetragonal
Raw formation energy (eV per atom): -2.216
DOS at the Fermi energy (states/eV/cell): 2.6

VASP calculation (PBE-GGA) on a geometry-optimized UGaPbO6 structure.

Cell and atoms, written as POSCAR:
```
UGaPbO6
1.0
5.421 0.000 0.000
-2.711 4.695 0.000
0.000 0.000 10.092
U Ga Pb O
2 2 2 12
Direct
0.333 0.667 0.250
0.667 0.333 0.750
0.333 0.667 0.750
0.667 0.333 0.250
0.000 0.000 0.000
0.000 0.000 0.500
0.010 0.366 0.641
0.010 0.644 0.859
0.356 0.366 0.859
0.356 0.990 0.641
0.366 0.010 0.141
0.366 0.356 0.359
0.634 0.644 0.641
0.634 0.990 0.859
0.644 0.010 0.359
0.644 0.634 0.141
0.990 0.356 0.141
0.990 0.634 0.359
```

Values from the calculation:
Volume (Å³/f.u.): 128
M_tot (Bohr magnetons per cell): 0.0
Crystal system: trigonal
Raw formation energy (eV per atom): -2.050
DOS at the Fermi energy (states/eV/cell): 6.8